Entry 1:
The following is a PBEsol calculation of a relaxed structure of Ta2SbPt, from the Alexandria database.

Cell and atoms, written as POSCAR:
```
Ta2SbPt
1.0
-2.483 1.556 0.564
-0.371 -1.514 2.544
4.502 5.715 4.057
Pt Sb Ta
1 1 2
direct
0.000 0.000 0.473
0.500 0.500 0.747
0.000 0.000 0.014
0.500 0.500 0.266
```

The symmetry is P4mm (99). The volume is 74.2 Å³ per cell. The value obtained for the calculated total energy is -36.92 eV/cell. The value obtained for the raw formation energy is -0.29 eV/f.u. For the density of states at the Fermi level, the calculation gives 0.800 states/eV per atom.

***

Entry 2:
The following is a PBEsol calculation of a relaxed structure of TaSb2Pt, from the Alexandria database.

Cell and atoms, written as POSCAR:
```
TaSb2Pt
1.0
-1.441 -2.231 -1.418
2.840 0.818 -4.173
3.366 -2.418 3.579
Pt Sb Ta
1 2 1
direct
0.775 0.197 0.550
0.022 0.067 0.044
0.229 0.693 0.459
0.473 0.543 0.947
```

The symmetry is Cm (8). The volume is 78.0 Å³ per cell. The value obtained for the calculated total energy is -28.76 eV/cell. The value obtained for the raw formation energy is -0.14 eV/f.u. For the density of states at the Fermi level, the calculation gives 0.683 states/eV per atom.

***

Entry 3:
The following is a PBEsol calculation of a relaxed structure of TaSbPt4, from the Alexandria database.

Cell and atoms, written as POSCAR:
```
TaSbPt4
1.0
-5.001 -0.949 1.285
-2.422 -4.272 -1.856
-1.173 -3.966 3.234
Pt Sb Ta
4 1 1
direct
0.374 0.374 0.374
0.374 0.374 0.877
0.877 0.374 0.374
0.374 0.877 0.374
0.750 0.750 0.750
0.000 0.000 0.000
```

The symmetry is F-43m (216). The volume is 102.3 Å³ per cell. The value obtained for the calculated total energy is -45.09 eV/cell. The value obtained for the raw formation energy is -0.12 eV/f.u. For the density of states at the Fermi level, the calculation gives 1.064 states/eV per atom.

***

Entry 4:
The following is a PBEsol calculation of a relaxed structure of TaSbPt2, from the Alexandria database.

Cell and atoms, written as POSCAR:
```
TaSbPt2
1.0
2.994 0.000 0.000
0.000 3.770 0.000
0.000 0.000 6.150
Pt Sb Ta
2 1 1
direct
0.000 0.000 0.993
0.500 0.500 0.238
0.000 0.000 0.484
0.500 0.500 0.786
```

The symmetry is Pmm2 (25). The volume is 69.4 Å³ per cell. The value obtained for the calculated total energy is -31.92 eV/cell. The value obtained for the raw formation energy is -0.88 eV/f.u. For the density of states at the Fermi level, the calculation gives 0.608 states/eV per atom.

***

Entry 5:
The following is a PBEsol calculation of a relaxed structure of TaSbPt2, from the Alexandria database.

Cell and atoms, written as POSCAR:
```
TaSbPt2
1.0
3.233 0.000 0.000
0.000 3.838 0.000
0.000 0.000 5.602
Pt Sb Ta
2 1 1
direct
0.000 0.000 0.734
0.000 0.000 0.266
0.500 0.500 0.000
0.500 0.500 0.500
```

The symmetry is Pmmm (47). The volume is 69.5 Å³ per cell. The value obtained for the calculated total energy is -32.42 eV/cell. The value obtained for the raw formation energy is -1.39 eV/f.u. For the density of states at the Fermi level, the calculation gives 0.545 states/eV per atom.

***

Entry 6:
The following is a PBEsol calculation of a relaxed structure of TaSb2TePt, from the Alexandria database.

Cell and atoms, written as POSCAR:
```
TaSb2TePt
1.0
-4.204 -0.123 2.818
-0.137 -5.043 -0.424
2.898 -0.441 4.304
Sb Te Pt Ta
2 1 1 1
direct
0.000 0.500 0.000
0.500 0.000 0.000
0.000 0.000 0.500
0.000 0.000 0.000
0.500 0.500 0.500
```

The symmetry is P4/mmm (123). The volume is 133.5 Å³ per cell. The value obtained for the calculated total energy is -26.91 eV/cell. The value obtained for the raw formation energy is 5.24 eV/f.u. For the density of states at the Fermi level, the calculation gives 1.061 states/eV per atom.

***

Entry 7:
The following is a PBEsol calculation of a relaxed structure of TbSbPt, from the Alexandria database.

Cell and atoms, written as POSCAR:
```
TbSbPt
1.0
4.621 0.000 0.000
2.311 4.002 0.000
2.311 1.334 3.773
Sb Tb Pt
1 1 1
direct
0.000 0.000 0.000
0.500 0.500 0.500
0.750 0.750 0.750
```

The symmetry is F-43m (216). The volume is 69.8 Å³ per cell. The value obtained for the calculated total energy is -20.22 eV/cell. The value obtained for the raw formation energy is -3.69 eV/f.u. For the density of states at the Fermi level, the calculation gives 0.003 states/eV per atom.

***

Entry 8:
The following is a PBEsol calculation of a relaxed structure of Tc3SbPt, from the Alexandria database.

Cell and atoms, written as POSCAR:
```
Tc3SbPt
1.0
4.680 0.000 0.000
0.000 4.680 0.000
0.000 0.000 4.680
Sb Tc Pt
1 3 1
direct
0.000 0.000 0.000
0.000 0.500 0.000
0.000 0.000 0.500
0.500 0.000 0.000
0.500 0.500 0.500
```

The symmetry is Pm-3m (221). The volume is 102.5 Å³ per cell. The value obtained for the calculated total energy is -34.02 eV/cell. The value obtained for the raw formation energy is 11.30 eV/f.u. For the density of states at the Fermi level, the calculation gives 1.498 states/eV per atom.

***

Entry 9:
The following is a PBEsol calculation of a relaxed structure of YTcSb2Pt, from the Alexandria database.

Cell and atoms, written as POSCAR:
```
YTcSb2Pt
1.0
-1.239 -3.708 2.841
-2.693 -1.990 -3.772
4.064 -2.550 -1.556
Y Sb Tc Pt
1 2 1 1
direct
0.500 0.500 0.500
0.000 0.000 0.500
0.000 0.500 0.000
0.000 0.000 0.000
0.500 0.000 0.000
```

The symmetry is P4/mmm (123). The volume is 122.9 Å³ per cell. The value obtained for the calculated total energy is -33.15 eV/cell. The value obtained for the raw formation energy is 1.02 eV/f.u. For the density of states at the Fermi level, the calculation gives 0.797 states/eV per atom.

***

Entry 10:
The following is a PBEsol calculation of a relaxed structure of Sb2TePt, from the Alexandria database.

Cell and atoms, written as POSCAR:
```
Sb2TePt
1.0
-1.749 1.156 2.386
-2.651 -0.791 -1.561
0.077 -8.395 4.124
Pt Sb Te
1 2 1
direct
0.500 0.500 0.762
0.000 0.000 0.944
0.500 0.500 0.244
0.000 0.000 0.551
```

The symmetry is P4mm (99). The volume is 94.4 Å³ per cell. The value obtained for the calculated total energy is -19.24 eV/cell. The value obtained for the raw formation energy is 0.36 eV/f.u. For the density of states at the Fermi level, the calculation gives 0.686 states/eV per atom.

***

Entry 11:
The following is a PBEsol calculation of a relaxed structure of SbTePt, from the Alexandria database.

Cell and atoms, written as POSCAR:
```
SbTePt
1.0
-1.740 -5.243 3.495
3.836 -3.758 -3.728
4.999 1.059 4.077
Sb Te Pt
4 4 4
direct
0.371 0.371 0.371
0.129 0.629 0.871
0.871 0.129 0.629
0.629 0.871 0.129
0.628 0.628 0.628
0.872 0.372 0.128
0.128 0.872 0.372
0.372 0.128 0.872
0.996 0.996 0.996
0.504 0.004 0.496
0.496 0.504 0.004
0.004 0.496 0.504
```

The symmetry is P2_13 (198). The volume is 279.4 Å³ per cell. The value obtained for the calculated total energy is -65.26 eV/cell. The value obtained for the raw formation energy is -1.27 eV/f.u. For the density of states at the Fermi level, the calculation gives 0.422 states/eV per atom.

***

Entry 12:
The following is a PBEsol calculation of a relaxed structure of SbTePt, from the Alexandria database.

Cell and atoms, written as POSCAR:
```
SbTePt
1.0
4.021 0.000 0.000
-2.010 3.482 0.000
0.000 0.000 5.094
Sb Te Pt
1 1 1
direct
0.333 0.667 0.737
0.667 0.333 0.266
0.000 0.000 0.997
```

The symmetry is P3m1 (156). The volume is 71.3 Å³ per cell. The value obtained for the calculated total energy is -16.23 eV/cell. The value obtained for the raw formation energy is -1.19 eV/f.u. For the density of states at the Fermi level, the calculation gives 0.473 states/eV per atom.